Ba2CoSb at its PBEsol-relaxed geometry, computed with SCAN.

- uncorrected formation energy (eV per atom) = -0.296
- DOS at the Fermi energy (states/eV per cell) = 1.2

The structure in CIF format:
```
data_Ba2CoSb
_chemical_formula_sum 'Ba2 Co1 Sb1'
_symmetry_space_group_name_H-M 'P 4/m m m'
_symmetry_Int_Tables_number 123
_symmetry_space_group_name_Hall '-P 4 2'
_cell_length_a 5.467
_cell_length_b 5.467
_cell_length_c 4.355
_cell_angle_alpha 90.00
_cell_angle_beta 90.00
_cell_angle_gamma 90.00
loop_
_atom_site_label
_atom_site_fract_x
_atom_site_fract_y
_atom_site_fract_z
Ba1 0.000 0.500 0.000
Co1 0.000 0.000 0.500
Sb1 0.500 0.500 0.500
```